(1)
Crystalline In2TeAs at its relaxed geometry. Source: Alexandria, functional PBE.

```
In2TeAs
1.0
4.548 0.000 0.000
-2.274 3.939 0.000
0.000 0.000 23.925
In Te As
6 3 3
direct
0.000 0.000 0.000
0.000 0.000 0.482
0.333 0.667 0.148
0.333 0.667 0.667
0.667 0.333 0.333
0.667 0.333 0.815
0.000 0.000 0.609
0.333 0.667 0.276
0.667 0.333 0.942
0.000 0.000 0.115
0.333 0.667 0.782
0.667 0.333 0.448
```

Properties
density of states at the Fermi level: 0.5636 states/eV per atom
space group: No. 160
E: -41.5 eV/cell
distance to the lowest polymorph of the same formula: 24 meV/atom

=====

(2)
Crystalline Ac2Ti3NbO12 at its relaxed geometry. Source: Alexandria, functional PBE.

```
Ac2Ti3NbO12
1.0
3.479 2.008 6.005
-3.479 2.008 6.005
0.000 -4.017 6.005
Ac Ti Nb O
2 3 1 12
direct
0.101 0.101 0.101
0.899 0.899 0.899
0.000 0.500 0.500
0.500 0.000 0.500
0.500 0.500 0.000
0.500 0.500 0.500
0.161 0.161 0.598
0.161 0.598 0.161
0.162 0.580 0.580
0.402 0.839 0.839
0.420 0.420 0.838
0.420 0.838 0.420
0.580 0.162 0.580
0.580 0.580 0.162
0.598 0.161 0.161
0.838 0.420 0.420
0.839 0.402 0.839
0.839 0.839 0.402
```

Properties
density of states at the Fermi level: 0.5459 states/eV per atom
space group: No. 166
E: -149.3 eV/cell

=====

(3)
Crystalline LiTh2Pb at its relaxed geometry. Source: Alexandria, functional PBE.

```
LiTh2Pb
1.0
4.793 0.000 0.000
0.000 4.793 0.000
0.000 0.000 4.823
Li Th Pb
1 2 1
direct
0.000 0.000 0.000
0.000 0.500 0.500
0.500 0.000 0.500
0.500 0.500 0.000
```

Properties
density of states at the Fermi level: 0.6153 states/eV per atom
space group: No. 123
E: -20.9 eV/cell
distance to the lowest polymorph of the same formula: 0 meV/atom
energy of formation from the pure elements: -0.1146 eV/atom

=====

(4)
Crystalline Pr4Ga12Sn at its relaxed geometry. Source: Alexandria, functional PBE.

```
Pr4Ga12Sn
1.0
-4.521 4.521 4.521
4.521 -4.521 4.521
4.521 4.521 -4.521
Pr Ga Sn
4 12 1
direct
0.000 0.000 0.500
0.000 0.500 0.000
0.500 0.000 0.000
0.500 0.500 0.500
0.000 0.323 0.323
0.000 0.677 0.677
0.250 0.500 0.750
0.250 0.750 0.500
0.323 0.000 0.323
0.323 0.323 0.000
0.500 0.250 0.750
0.500 0.750 0.250
0.677 0.000 0.677
0.677 0.677 0.000
0.750 0.250 0.500
0.750 0.500 0.250
0.000 0.000 0.000
```

Properties
density of states at the Fermi level: 0.6247 states/eV per atom
space group: No. 229
E: -68.0 eV/cell
energy of formation from the pure elements: -0.5026 eV/atom

=====

(5)
Crystalline RbZnAsAu at its relaxed geometry. Source: Alexandria, functional PBE.

```
RbZnAsAu
1.0
3.998 0.000 0.000
0.000 3.998 0.000
0.000 0.000 13.377
Rb Zn As Au
2 2 2 2
direct
0.250 0.250 0.228
0.750 0.750 0.772
0.250 0.750 0.500
0.750 0.250 0.500
0.250 0.250 0.619
0.750 0.750 0.381
0.250 0.750 0.000
0.750 0.250 0.000
```

Properties
density of states at the Fermi level: 0.5056 states/eV per atom
space group: No. 129
E: -22.7 eV/cell
energy of formation from the pure elements: -0.2965 eV/atom

=====

(6)
Crystalline Nd8CuHg2 at its relaxed geometry. Source: Alexandria, functional PBE.

```
Nd8CuHg2
1.0
9.332 -2.655 0.000
9.332 2.655 0.000
-1.747 0.000 6.787
Nd Cu Hg
8 1 2
direct
0.018 0.018 0.276
0.203 0.203 0.811
0.343 0.343 0.526
0.410 0.410 0.046
0.590 0.590 0.954
0.657 0.657 0.474
0.797 0.797 0.189
0.982 0.982 0.724
0.500 0.500 0.500
0.184 0.184 0.237
0.816 0.816 0.763
```

Properties
density of states at the Fermi level: 1.0510 states/eV per atom
space group: No. 12
E: -44.6 eV/cell
energy of formation from the pure elements: -0.1628 eV/atom

=====

(7)
Crystalline Tb3Nd3Sm2 at its relaxed geometry. Source: Alexandria, functional PBE.

```
Tb3Nd3Sm2
1.0
5.835 0.000 0.000
0.000 14.690 0.000
0.000 0.000 6.347
Tb Nd Sm
6 6 4
direct
0.250 0.001 0.165
0.250 0.250 0.166
0.250 0.499 0.165
0.750 0.501 0.835
0.750 0.750 0.834
0.750 0.999 0.835
0.250 0.124 0.665
0.250 0.376 0.665
0.250 0.750 0.166
0.750 0.250 0.834
0.750 0.624 0.335
0.750 0.876 0.335
0.250 0.625 0.668
0.250 0.875 0.668
0.750 0.125 0.332
0.750 0.375 0.332
```

Properties
density of states at the Fermi level: 1.7983 states/eV per atom
space group: No. 59
E: -74.8 eV/cell
distance to the lowest polymorph of the same formula: 0 meV/atom
energy of formation from the pure elements: 0.0285 eV/atom

=====

(8)
Crystalline Li2Cd2Hg at its relaxed geometry. Source: Alexandria, functional PBE.

```
Li2Cd2Hg
1.0
3.859 0.000 0.000
0.000 3.859 0.000
0.000 0.000 14.645
Li Cd Hg
4 4 2
direct
0.000 0.500 0.250
0.000 0.500 0.750
0.500 0.000 0.250
0.500 0.000 0.750
0.000 0.000 0.106
0.000 0.000 0.894
0.500 0.500 0.394
0.500 0.500 0.606
0.000 0.000 0.500
0.500 0.500 0.000
```

Properties
density of states at the Fermi level: 0.4535 states/eV per atom
space group: No. 139
E: -12.5 eV/cell
distance to the lowest polymorph of the same formula: 175 meV/atom
energy of formation from the pure elements: -0.0608 eV/atom

=====

(9)
Crystalline LiMnAl2 at its relaxed geometry. Source: Alexandria, functional PBE.

```
LiMnAl2
1.0
2.813 0.000 0.000
0.000 3.876 0.000
0.000 0.000 5.413
Li Mn Al
1 1 2
direct
0.000 0.000 0.000
0.500 0.500 0.264
0.000 0.000 0.473
0.500 0.500 0.759
```

Properties
density of states at the Fermi level: 0.5409 states/eV per atom
space group: No. 25
E: -18.6 eV/cell
energy of formation from the pure elements: -0.0170 eV/atom

=====

(10)
Crystalline Nd2TcO at its relaxed geometry. Source: Alexandria, functional PBE.

```
Nd2TcO
1.0
3.499 0.000 0.000
-1.749 3.030 0.000
0.000 0.000 24.158
Nd Tc O
6 3 3
direct
0.000 0.000 0.106
0.000 0.000 0.894
0.333 0.667 0.561
0.333 0.667 0.772
0.667 0.333 0.228
0.667 0.333 0.439
0.000 0.000 0.000
0.333 0.667 0.667
0.667 0.333 0.333
0.000 0.000 0.500
0.333 0.667 0.167
0.667 0.333 0.833
```

Properties
density of states at the Fermi level: 0.8801 states/eV per atom
space group: No. 166
E: -81.6 eV/cell

=====

(11)
Crystalline AsIrSe at its relaxed geometry. Source: Alexandria, functional PBE.

```
AsIrSe
1.0
6.119 0.000 0.000
0.000 6.119 0.000
0.000 0.000 6.119
As Ir Se
4 4 4
direct
0.000 0.000 0.000
0.000 0.500 0.500
0.500 0.000 0.500
0.500 0.500 0.000
0.250 0.250 0.250
0.250 0.750 0.750
0.750 0.250 0.750
0.750 0.750 0.250
0.250 0.250 0.750
0.250 0.750 0.250
0.750 0.250 0.250
0.750 0.750 0.750
```

Properties
density of states at the Fermi level: 0.8224 states/eV per atom
space group: No. 216
E: -59.8 eV/cell

=====

(12)
Crystalline CaBIN2 at its relaxed geometry. Source: Alexandria, functional PBE.

```
CaBIN2
1.0
4.619 0.000 0.000
0.000 4.619 0.000
0.000 0.000 6.444
Ca B I N
1 1 1 2
direct
0.000 0.000 0.000
0.500 0.500 0.500
0.000 0.000 0.500
0.000 0.500 0.000
0.500 0.000 0.000
```

Properties
density of states at the Fermi level: 0.4323 states/eV per atom
space group: No. 123
E: -17.3 eV/cell
distance to the lowest polymorph of the same formula: 691 meV/atom

=====

In g/cm³, the mass density values for the records above are, in order, 5.02 5.82 10.16 6.82 6.57 7.99 7.39 6.69 3.26 7.83 10.04 2.49.